# 1
# Na2VWO6

Crystalline Na2VWO6 at its relaxed geometry (PBE with a Hubbard U, the Alexandria database).

a b c (Å): 5.506 5.506 3.933
angles (deg): 90.00 90.00 90.00
Fractional positions:
Na  0.000  0.500  0.000
Na  0.500  0.000  0.000
V  0.000  0.000  0.489
W  0.500  0.500  0.535
O  0.000  0.000  0.051
O  0.253  0.253  0.549
O  0.253  0.747  0.549
O  0.500  0.500  0.044
O  0.747  0.253  0.549
O  0.747  0.747  0.549

Computed properties:
electronic total energy	-0.24617	hartree per atom


# 2
# Na2VWO

Crystalline Na2VWO at its relaxed geometry (PBE with a Hubbard U, the Alexandria database).

a b c (Å): 5.847 5.847 5.028
angles (deg): 90.00 90.00 90.00
Fractional positions:
Na  0.000  0.500  0.000
Na  0.500  0.000  0.000
V  0.000  0.000  0.000
W  0.000  0.000  0.500
O  0.500  0.500  0.500

Computed properties:
electronic total energy	-0.10147	hartree per atom


# 3
# NaVW2O8

Crystalline NaVW2O8 at its relaxed geometry (PBE with a Hubbard U, the Alexandria database).

a b c (Å): 4.801 4.801 6.189
angles (deg): 90.45 90.45 93.01
Fractional positions:
Na  0.000  0.000  0.000
V  0.000  0.000  0.500
W  0.497  0.497  0.256
W  0.503  0.503  0.744
O  0.210  0.210  0.709
O  0.214  0.214  0.284
O  0.295  0.705  0.500
O  0.327  0.673  0.000
O  0.673  0.327  0.000
O  0.705  0.295  0.500
O  0.786  0.786  0.716
O  0.790  0.790  0.291

Computed properties:
electronic total energy	-0.26303	hartree per atom


# 4
# Na4Y3VO8

Crystalline Na4Y3VO8 at its relaxed geometry (PBE with a Hubbard U, the Alexandria database).

a b c (Å): 6.701 6.701 6.767
angles (deg): 119.62 119.62 59.79
Fractional positions:
Na  0.000  0.000  0.000
Na  0.000  0.500  0.000
Na  0.500  0.000  0.000
Na  0.500  0.500  0.000
Y  0.000  0.000  0.500
Y  0.000  0.500  0.500
Y  0.500  0.000  0.500
V  0.500  0.500  0.500
O  0.237  0.237  0.714
O  0.257  0.724  0.705
O  0.265  0.265  0.285
O  0.276  0.743  0.295
O  0.724  0.257  0.705
O  0.735  0.735  0.715
O  0.743  0.276  0.295
O  0.763  0.763  0.286

Computed properties:
electronic total energy	-0.25799	hartree per atom


Please write out number 3 again, unchanged.
# NaVW2O8

Crystalline NaVW2O8 at its relaxed geometry (PBE with a Hubbard U, the Alexandria database).

a b c (Å): 4.801 4.801 6.189
angles (deg): 90.45 90.45 93.01
Fractional positions:
Na  0.000  0.000  0.000
V  0.000  0.000  0.500
W  0.497  0.497  0.256
W  0.503  0.503  0.744
O  0.210  0.210  0.709
O  0.214  0.214  0.284
O  0.295  0.705  0.500
O  0.327  0.673  0.000
O  0.673  0.327  0.000
O  0.705  0.295  0.500
O  0.786  0.786  0.716
O  0.790  0.790  0.291

Computed properties:
electronic total energy	-0.26303	hartree per atom


Copy entry 3 word for word.
# NaVW2O8

Crystalline NaVW2O8 at its relaxed geometry (PBE with a Hubbard U, the Alexandria database).

a b c (Å): 4.801 4.801 6.189
angles (deg): 90.45 90.45 93.01
Fractional positions:
Na  0.000  0.000  0.000
V  0.000  0.000  0.500
W  0.497  0.497  0.256
W  0.503  0.503  0.744
O  0.210  0.210  0.709
O  0.214  0.214  0.284
O  0.295  0.705  0.500
O  0.327  0.673  0.000
O  0.673  0.327  0.000
O  0.705  0.295  0.500
O  0.786  0.786  0.716
O  0.790  0.790  0.291

Computed properties:
electronic total energy	-0.26303	hartree per atom


Q: electronic total energy of number 3 (NaVW2O8)?
A: -0.26303 hartree per atom


Q: The lowest electronic total energy belongs to which entry?
A: NaVW2O8